1.
The following is a PBE calculation of an optimized crystal structure of KTiTeI2, from the Alexandria database.

Output
total moment = 1.0 μB/f.u.
mass density = 4.23 Mg/m³
V = 36.746 A^3/atom
density of states at the Fermi level = 2.97 states/eV/f.u.
formation energy from raw total energies = -0.78 eV per atom
energy relative to the lowest polymorph listed for this composition = 0.00 eV per formula unit

Cell and atoms, written as POSCAR:
```
KTiTeI2
1.0
5.854 0.000 0.000
0.000 5.854 0.000
0.000 0.000 5.361
K Ti Te I
1 1 1 2
Direct
0.000 0.000 0.000
0.500 0.500 0.500
0.500 0.500 0.000
0.000 0.500 0.500
0.500 0.000 0.500
```

2.
The following is a PBE calculation of an optimized crystal structure of KTiTe2I, from the Alexandria database.

Output
total moment = 0.4 μB/f.u.
mass density = 4.47 Mg/m³
V = 34.867 A^3/atom
density of states at the Fermi level = 2.54 states/eV/f.u.
formation energy from raw total energies = -0.71 eV per atom
energy relative to the lowest polymorph listed for this composition = 0.00 eV per formula unit

Cell and atoms, written as POSCAR:
```
KTiTe2I
1.0
5.368 0.000 0.000
0.000 5.368 0.000
0.000 0.000 6.049
K Ti Te I
1 1 2 1
Direct
0.000 0.000 0.000
0.500 0.500 0.500
0.000 0.500 0.500
0.500 0.000 0.500
0.500 0.500 0.000
```

3.
The following is a PBE calculation of an optimized crystal structure of KTlTeI2, from the Alexandria database.

Output
total moment = 2.0 μB/f.u.
mass density = 3.78 Mg/m³
V = 54.886 A^3/atom
density of states at the Fermi level = 4.80 states/eV/f.u.
formation energy from raw total energies = -0.16 eV per atom
energy relative to the lowest polymorph listed for this composition = 1.56 eV per formula unit

Cell and atoms, written as POSCAR:
```
KTlTeI2
1.0
6.563 0.000 0.000
0.000 6.563 0.000
0.000 0.000 6.372
K Tl Te I
1 1 1 2
Direct
0.000 0.000 0.000
0.500 0.500 0.500
0.000 0.000 0.500
0.000 0.500 0.000
0.500 0.000 0.000
```

4.
The following is a PBE calculation of an optimized crystal structure of KTl2TeI, from the Alexandria database.

Output
total moment = 0.0 μB/f.u.
mass density = 5.47 Mg/m³
V = 42.657 A^3/atom
formation energy from raw total energies = -0.68 eV per atom

Cell and atoms, written as POSCAR:
```
KTl2TeI
1.0
8.823 0.000 0.000
0.000 4.537 0.000
-1.817 0.000 10.657
K Tl Te I
2 4 2 2
Direct
0.231 0.250 0.498
0.769 0.750 0.502
0.057 0.750 0.131
0.356 0.250 0.887
0.644 0.750 0.113
0.943 0.250 0.869
0.128 0.750 0.734
0.872 0.250 0.266
0.396 0.750 0.312
0.604 0.250 0.688
```

> Which of these has the lowest total moment?

KTl2TeI

> Among the records above, which one has the highest mass density?

KTl2TeI

Copy entry 3 word for word.
The following is a PBE calculation of an optimized crystal structure of KTlTeI2, from the Alexandria database.

Output
total moment = 2.0 μB/f.u.
mass density = 3.78 Mg/m³
V = 54.886 A^3/atom
density of states at the Fermi level = 4.80 states/eV/f.u.
formation energy from raw total energies = -0.16 eV per atom
energy relative to the lowest polymorph listed for this composition = 1.56 eV per formula unit

Cell and atoms, written as POSCAR:
```
KTlTeI2
1.0
6.563 0.000 0.000
0.000 6.563 0.000
0.000 0.000 6.372
K Tl Te I
1 1 1 2
Direct
0.000 0.000 0.000
0.500 0.500 0.500
0.000 0.000 0.500
0.000 0.500 0.000
0.500 0.000 0.000
```